(1)
Ba2LaMg: optimized geometry, PBE.

a b c (Å): 3.982 5.634 7.835
angles (deg): 90.00 92.74 90.00
Space group P2/m (No. 10)
Inequivalent atoms, fractional coordinates:
Ba 0.014 0.000 0.258 x2
La 0.500 0.500 0.000 x1
Mg 0.500 0.500 0.500 x1

Calculated values
* E_form: 155.4 meV per atom
* total magnetic moment: 0.00 μB per formula unit
* uncorrected energy: -2.44 eV/atom
* density of states at the Fermi level: 6.8 states/eV/cell


(2)
BaLa2Mg: optimized geometry, PBE.

a b c (Å): 3.728 6.167 6.580
angles (deg): 90.00 97.53 90.00
Space group P2/m (No. 10)
Inequivalent atoms, fractional coordinates:
Ba 0.000 0.000 0.000 x1
La 0.267 0.500 0.712 x2
Mg 0.500 0.000 0.500 x1

Calculated values
* E_form: 93.8 meV per atom
* total magnetic moment: 0.00 μB per formula unit
* uncorrected energy: -3.25 eV/atom
* density of states at the Fermi level: 4.2 states/eV/cell


(3)
BaLa2Mg: optimized geometry, PBE.

a b c (Å): 8.493 8.493 8.493
angles (deg): 90.00 90.00 90.00
Space group F-43m (No. 216)
Inequivalent atoms, fractional coordinates:
Ba 0.000 0.000 0.000 x4
La 0.000 0.000 0.500 x4
La 0.250 0.250 0.750 x4
Mg 0.250 0.250 0.250 x4

Calculated values
* E_form: 176.1 meV per atom
* total magnetic moment: 0.00 μB per formula unit
* uncorrected energy: -3.17 eV/atom
* density of states at the Fermi level: 27.9 states/eV/cell


(4)
BaLa2Mg: optimized geometry, PBE.

a b c (Å): 5.884 5.884 4.356
angles (deg): 90.00 90.00 90.00
Space group P4/mmm (No. 123)
Inequivalent atoms, fractional coordinates:
Ba 0.000 0.000 0.000 x1
La 0.000 0.500 0.500 x2
Mg 0.500 0.500 0.000 x1

Calculated values
* E_form: 169.9 meV per atom
* total magnetic moment: 0.00 μB per formula unit
* uncorrected energy: -3.17 eV/atom
* density of states at the Fermi level: 6.9 states/eV/cell


(5)
BaLa2MgMn: optimized geometry, PBE.

a b c (Å): 5.283 5.283 5.684
angles (deg): 90.00 90.00 90.00
Space group P4/mmm (No. 123)
Inequivalent atoms, fractional coordinates:
Ba 0.000 0.000 0.000 x1
La 0.000 0.500 0.500 x2
Mg 0.500 0.500 0.000 x1
Mn 0.500 0.500 0.500 x1

Calculated values
* E_form: 176.7 meV per atom
* total magnetic moment: 0.00 μB per formula unit
* uncorrected energy: -4.33 eV/atom
* density of states at the Fermi level: 5.7 states/eV/cell


(6)
BaLaMgMn2: optimized geometry, PBE.

a b c (Å): 4.968 4.968 5.522
angles (deg): 90.00 90.00 90.00
Space group P4/mmm (No. 123)
Inequivalent atoms, fractional coordinates:
Ba 0.000 0.000 0.000 x1
La 0.500 0.500 0.000 x1
Mg 0.500 0.500 0.500 x1
Mn 0.000 0.500 0.500 x2

Calculated values
* E_form: 1481.4 meV per atom
* total magnetic moment: 0.29 μB per formula unit
* uncorrected energy: -3.88 eV/atom
* density of states at the Fermi level: 9.1 states/eV/cell


(7)
BaLa7Mg5Nb3O24: optimized geometry, PBE.

a b c (Å): 5.703 9.880 9.893
angles (deg): 80.35 89.88 73.32
Space group P1 (No. 1)
Inequivalent atoms, fractional coordinates:
Ba 0.000 0.000 0.000 x1
La 0.142 0.725 0.390 x1
La 0.264 0.489 0.739 x1
La 0.376 0.257 0.153 x1
La 0.488 0.015 0.494 x1
La 0.638 0.743 0.891 x1
La 0.744 0.489 0.261 x1
La 0.889 0.268 0.615 x1
Mg 0.192 0.620 0.069 x1
Mg 0.320 0.372 0.444 x1
Mg 0.438 0.126 0.813 x1
Mg 0.693 0.627 0.567 x1
Mg 0.943 0.119 0.319 x1
Nb 0.069 0.872 0.689 x1
Nb 0.561 0.874 0.194 x1
Nb 0.818 0.373 0.941 x1
O 0.065 0.764 0.881 x1
O 0.069 0.956 0.490 x1
O 0.169 0.259 0.932 x1
O 0.190 0.025 0.743 x1
O 0.194 0.218 0.371 x1
O 0.232 0.996 0.221 x1
O 0.303 0.277 0.644 x1
O 0.328 0.470 0.241 x1
O 0.426 0.752 0.683 x1
O 0.443 0.722 0.126 x1
O 0.444 0.526 0.519 x1
O 0.471 0.502 0.952 x1
O 0.543 0.965 0.991 x1
O 0.570 0.781 0.392 x1
O 0.680 0.242 0.426 x1
O 0.683 0.242 0.854 x1
O 0.687 0.026 0.258 x1
O 0.718 0.986 0.708 x1
O 0.809 0.274 0.136 x1
O 0.831 0.481 0.750 x1
O 0.912 0.749 0.179 x1
O 0.929 0.522 0.024 x1
O 0.952 0.497 0.458 x1
O 0.965 0.716 0.614 x1

Calculated values
* formation energy (no corrections): -3061.0 meV per atom
* total magnetic moment: 0.00 μB per formula unit
* uncorrected energy: -7.90 eV/atom
* density of states at the Fermi level: 0.0 states/eV/cell


(8)
Ba9La3Mg5Nb7O36: optimized geometry, PBE.

a b c (Å): 5.808 17.468 8.317
angles (deg): 90.00 90.00 90.00
Space group Pmm2 (No. 25)
Inequivalent atoms, fractional coordinates:
Ba 0.000 0.000 0.000 x1
Ba 0.000 0.000 0.489 x1
Ba 0.000 0.338 0.501 x2
Ba 0.500 0.170 0.487 x2
Ba 0.500 0.171 0.001 x2
Ba 0.500 0.500 0.000 x1
La 0.000 0.327 0.044 x2
La 0.500 0.500 0.548 x1
Mg 0.000 0.165 0.250 x2
Mg 0.000 0.500 0.245 x1
Mg 0.500 0.334 0.750 x2
Nb 0.000 0.175 0.746 x2
Nb 0.000 0.500 0.750 x1
Nb 0.500 0.000 0.238 x1
Nb 0.500 0.000 0.741 x1
Nb 0.500 0.338 0.245 x2
O 0.000 0.164 0.509 x2
O 0.000 0.172 0.989 x2
O 0.000 0.500 0.495 x1
O 0.000 0.500 0.983 x1
O 0.243 0.413 0.226 x4
O 0.245 0.250 0.745 x4
O 0.246 0.255 0.236 x4
O 0.255 0.082 0.752 x4
O 0.255 0.422 0.730 x4
O 0.259 0.081 0.250 x4
O 0.500 0.000 0.504 x1
O 0.500 0.000 0.998 x1
O 0.500 0.333 0.998 x2
O 0.500 0.341 0.483 x2

Calculated values
* formation energy (no corrections): -2884.1 meV per atom
* total magnetic moment: 0.00 μB per formula unit
* uncorrected energy: -7.70 eV/atom
* density of states at the Fermi level: 0.0 states/eV/cell


(9)
BaLa2MgO: optimized geometry, PBE.

a b c (Å): 5.099 5.099 5.637
angles (deg): 90.00 90.00 90.00
Space group P4/mmm (No. 123)
Inequivalent atoms, fractional coordinates:
Ba 0.000 0.000 0.000 x1
La 0.000 0.500 0.500 x2
Mg 0.500 0.500 0.000 x1
O 0.000 0.000 0.500 x1

Calculated values
* formation energy (no corrections): -1064.3 meV per atom
* total magnetic moment: 0.00 μB per formula unit
* uncorrected energy: -4.73 eV/atom
* density of states at the Fermi level: 5.2 states/eV/cell


(10)
BaLaMgO4: optimized geometry, PBE.

a b c (Å): 5.574 13.047 5.754
angles (deg): 90.00 90.00 90.00
Space group Cmcm (No. 63)
Inequivalent atoms, fractional coordinates:
Ba 0.000 0.104 0.250 x4
La 0.000 0.385 0.250 x4
Mg 0.000 0.255 0.750 x4
O 0.000 0.091 0.750 x4
O 0.000 0.436 0.750 x4
O 0.250 0.250 0.000 x8

Calculated values
* formation energy (no corrections): -2594.1 meV per atom
* total magnetic moment: 1.04 μB per formula unit
* uncorrected energy: -6.63 eV/atom
* density of states at the Fermi level: 17.9 states/eV/cell